Record 1
CsHfInBi2 | Alexandria | PBE | optimized geometry; final energy = -4.338 eV per atom; space-group type = No. 123; DOS at the Fermi energy = 3.9 states/eV per cell
1.0
5.743 0.000 0.000
0.000 5.743 0.000
0.000 0.000 5.798
Cs Hf Bi In
1 1 2 1
Cartesian
2.871 2.871 2.899
0.000 0.000 0.000
0.000 2.871 0.000
2.871 0.000 0.000
0.000 0.000 2.899

***

Record 2
RbSb3Ru | Alexandria | PBE | optimized geometry; final energy = -4.319 eV per atom; space-group type = No. 221; formation energy without anion corrections = 0.20 eV/atom; DOS at the Fermi energy = 2.1 states/eV per cell
1.0
5.315 0.000 0.000
0.000 5.315 0.000
0.000 0.000 5.315
Sb Rb Ru
3 1 1
Cartesian
0.000 2.657 0.000
0.000 0.000 2.657
2.657 0.000 0.000
2.657 2.657 2.657
0.000 0.000 0.000

***

Record 3
TaNi2W | Alexandria | PBE | optimized geometry; final energy = -9.161 eV per atom; space-group type = No. 139; DOS at the Fermi energy = 3.1 states/eV per cell
1.0
-2.382 -3.503 -1.956
0.011 -3.661 2.893
-1.089 4.485 0.684
Ni W Ta
2 1 1
Cartesian
-2.371 -7.163 0.937
-1.185 -3.582 0.468
-2.328 -1.300 -0.402
-1.132 -1.379 2.023

***

Record 4
Ac3Mg4Ni4 | Alexandria | PBE | optimized geometry; final energy = -3.997 eV per atom; space-group type = No. 71; DOS at the Fermi energy = 7.7 states/eV per cell
1.0
-2.504 2.634 1.794
-3.723 1.346 -7.173
-1.702 -7.560 4.145
Ac Mg Ni
3 4 4
Cartesian
-1.127 -1.303 0.340
-6.803 -2.277 -1.575
-1.862 0.673 -3.587
-2.418 -3.847 2.275
-4.127 -0.233 -0.839
-5.513 0.267 -3.509
-3.803 -3.347 -0.395
-4.108 -1.925 -2.908
-3.822 -1.654 1.673
-4.208 2.385 -4.798
-2.020 1.594 -0.581

***

Record 5
TiGaRh | Alexandria | PBE | optimized geometry; final energy = -6.261 eV per atom; space-group type = No. 216; DOS at the Fermi energy = 5.0 states/eV per cell
1.0
-0.493 2.820 -3.036
2.279 -0.267 -3.486
-1.809 -1.100 -3.596
Rh Ga Ti
1 1 1
Cartesian
0.000 0.000 0.000
-0.017 1.090 -7.588
-0.012 0.726 -5.059

***

Record 6
Na3PaTe6As2 | Alexandria | PBE | optimized geometry; final energy = -3.959 eV per atom; space-group type = No. 12; formation energy without anion corrections = -0.49 eV/atom; DOS at the Fermi energy = 8.0 states/eV per cell
1.0
-1.400 -0.399 -7.465
5.014 -4.757 3.174
-6.620 -3.141 2.704
Na Pa Te As
3 1 6 2
Cartesian
0.644 -5.608 2.768
-3.650 -2.690 -4.355
-1.503 -4.149 -0.793
0.000 0.000 0.000
-3.544 -5.595 -2.962
1.180 -4.450 -2.534
0.538 -2.702 1.376
-1.334 -7.097 0.704
-4.186 -3.848 0.947
-1.672 -1.200 -2.290
2.883 -3.310 -0.359
0.730 -1.847 -3.931